# Pr2PbSe (GGA-PBE, relaxed)
# - Total magnetic moment: 0.0 Bohr magnetons per cell
# - Excess energy over the best structure of this formula in the dataset: 23.7 meV per atom
data_Pr2PbSe
_cell_length_a 4.4234
_cell_length_b 4.4234
_cell_length_c 22.0611
_cell_angle_alpha 90.00
_cell_angle_beta 90.00
_cell_angle_gamma 120.00
_space_group_name_H-M_alt 'R -3 m'
_space_group_IT_number 166
_space_group_name_Hall '-R 3 2"'
loop_
_atom_site_label
_atom_site_type_symbol
_atom_site_fract_x
_atom_site_fract_y
_atom_site_fract_z
Pr1 Pr 0.0000 0.0000 0.2455
Pb1 Pb 0.0000 0.0000 0.0000
Se1 Se 0.0000 0.0000 0.5000